DFT (GGA-PBE) results for Yb2Si2O7 after structural relaxation.

Space group: No. 12
Uncorrected formation energy (eV per atom): -2.84
Total energy (eV for the cell shown): -79.85

a b c (Å): 5.7109 5.7109 4.8206
angles (deg): 82.78 82.78 105.90
Element x y z (fractional)
O  0.0000  0.0000  0.5000
Yb  0.6915  0.3085  0.0000
Si  0.2169  0.2169  0.5921
Si  0.7831  0.7831  0.4079
O  0.6180  0.9148  0.2210
O  0.3809  0.3809  0.2903
Yb  0.3085  0.6915  0.0000
O  0.0852  0.3820  0.7790
O  0.6191  0.6191  0.7097
O  0.3820  0.0852  0.7790
O  0.9148  0.6180  0.2210